# 1
First-principles (PBE) data for a geometry-optimized TlSb2Mo structure, as listed in the Alexandria database.

```
TlSb2Mo
1.0
3.263 0.000 0.000
0.000 5.477 0.000
0.000 0.000 5.477
Sb Mo Tl
2 1 1
direct
0.000 0.000 0.000
0.000 0.500 0.500
0.500 0.000 0.500
0.500 0.500 0.000
```

## Properties
energy above the lowest structure with this stoichiometry	603	meV/atom
space group	P4/mmm

---

# 2
First-principles (PBE) data for a geometry-optimized LaAlRu2 structure, as listed in the Alexandria database.

```
LaAlRu2
1.0
4.651 0.000 0.000
0.000 3.093 0.001
0.000 1.254 5.134
Al Ru La
1 2 1
direct
0.000 0.353 0.459
0.000 0.004 0.076
0.500 0.393 0.224
0.500 0.750 0.741
```

## Properties
ΔE_f	-0.07	eV per atom
space group	Pm

---

# 3
First-principles (PBE) data for a geometry-optimized HfTa3Ag structure, as listed in the Alexandria database.

```
HfTa3Ag
1.0
-3.663 0.301 -3.261
3.123 -1.156 -3.614
-0.989 -4.766 0.671
Ta Hf Ag
3 1 1
direct
0.000 0.000 0.500
0.500 0.000 0.000
0.000 0.500 0.000
0.000 0.000 0.000
0.500 0.500 0.500
```

## Properties
ΔE_f	1.97	eV per atom
energy above the lowest structure with this stoichiometry	179	meV/atom
space group	Pm-3m

---

# 4
First-principles (PBE) data for a geometry-optimized TcNiAu2 structure, as listed in the Alexandria database.

```
TcNiAu2
1.0
3.999 0.000 0.000
0.000 4.004 0.000
0.000 0.000 4.004
Au Ni Tc
2 1 1
direct
0.000 0.000 0.000
0.000 0.500 0.500
0.500 0.500 0.000
0.500 0.000 0.500
```

## Properties
ΔE_f	0.45	eV per atom
energy above the lowest structure with this stoichiometry	325	meV/atom
space group	P4/mmm

---

# 5
First-principles (PBE) data for a geometry-optimized LiAl4Ir structure, as listed in the Alexandria database.

```
LiAl4Ir
1.0
4.911 0.081 1.258
1.366 0.028 4.882
2.160 -4.103 2.052
Al Ir Li
4 1 1
direct
0.376 0.376 0.873
0.376 0.376 0.376
0.873 0.376 0.376
0.376 0.873 0.376
0.750 0.750 0.750
0.000 0.000 0.000
```

## Properties
ΔE_f	-0.07	eV per atom
space group	F-43m

---

# 6
First-principles (PBE) data for a geometry-optimized RbSb3Se structure, as listed in the Alexandria database.

```
RbSb3Se
1.0
-5.509 0.898 0.721
0.721 -0.060 5.582
0.898 5.556 -0.056
Rb Se Sb
1 1 3
direct
0.500 0.500 0.500
0.000 0.000 0.000
0.500 0.000 0.000
0.000 0.500 0.000
0.000 0.000 0.500
```

## Properties
energy above the lowest structure with this stoichiometry	0	meV/atom
space group	Pm-3m